[1]
VASP calculation (GGA-PBE) on a relaxed structure of Pr2Sm6Ho3.

a = 6.2056 Å, b = 6.2056 Å, c = 11.8239 Å
α = 95.08°, β = 95.08°, γ = 120.07°
Closest atoms and distances in Å follow each position.
Atoms (fractional coordinates):
Pr 0.1666 0.8334 0.0000  3 Pr 3.58, 6 Sm 3.60-3.61
Pr 0.8334 0.1666 0.0000  3 Pr 3.58, 6 Sm 3.60-3.61
Sm 0.0829 0.4156 0.7464  3 Ho 3.53-3.54, 6 Sm 3.58-3.59, 2 Pr 3.60-3.61
Sm 0.2513 0.2513 0.2535  3 Ho 3.53-3.54, 6 Sm 3.58-3.59, 2 Pr 3.60
Sm 0.4156 0.0829 0.7464  3 Ho 3.53-3.54, 6 Sm 3.58-3.59, 2 Pr 3.60-3.61
Sm 0.5844 0.9171 0.2536  3 Ho 3.53-3.54, 6 Sm 3.58-3.59, 2 Pr 3.60-3.61
Sm 0.7487 0.7487 0.7465  3 Ho 3.53-3.54, 6 Sm 3.58-3.59, 2 Pr 3.60
Sm 0.9171 0.5844 0.2536  3 Ho 3.53-3.54, 6 Sm 3.58-3.59, 2 Pr 3.60-3.61
Ho 0.0000 0.0000 0.5000  6 Sm 3.53-3.54, 6 Ho 3.57-3.60
Ho 0.3345 0.6655 0.5000  6 Sm 3.53-3.54, 6 Ho 3.56-3.60
Ho 0.6655 0.3345 0.5000  6 Sm 3.53-3.54, 6 Ho 3.56-3.60

Results
The value obtained for the density is 7.19 g/cm3. As for the volume: 387.80 Å³ per cell. As for the energy above the most stable polymorph in this dataset: 0 meV per atom. The value obtained for the calculated formation energy is 0.170 eV per atom. The space group is C2/m, No. 12. Its crystal system is monoclinic.

[2]
VASP calculation (GGA-PBE) on a relaxed structure of PmNd3Ho6Er2.

a = 6.1899 Å, b = 6.1899 Å, c = 11.7946 Å
α = 95.00°, β = 95.00°, γ = 119.98°
Closest atoms and distances in Å follow each position.
Atoms (fractional coordinates):
Pm 0.0000 0.0000 0.0000  6 Ho 3.53-3.54, 6 Er 3.57
Nd 0.1669 0.8331 0.5000  6 Nd 3.57-3.58, 6 Ho 3.59
Nd 0.5000 0.5000 0.5000  6 Nd 3.57-3.58, 6 Ho 3.59
Nd 0.8331 0.1669 0.5000  6 Nd 3.57-3.58, 6 Ho 3.59
Ho 0.0827 0.4166 0.2469  2 Er 3.53, 1 Pm 3.54, 6 Ho 3.57-3.58, 3 Nd 3.59
Ho 0.2513 0.2513 0.7531  1 Pm 3.53, 2 Er 3.53, 6 Ho 3.57-3.58, 3 Nd 3.59
Ho 0.4166 0.0827 0.2469  2 Er 3.53, 1 Pm 3.54, 6 Ho 3.57-3.58, 3 Nd 3.59
Ho 0.5834 0.9173 0.7531  2 Er 3.53, 1 Pm 3.54, 6 Ho 3.57-3.58, 3 Nd 3.59
Ho 0.7487 0.7487 0.2469  1 Pm 3.53, 2 Er 3.53, 6 Ho 3.57-3.58, 3 Nd 3.59
Ho 0.9173 0.5834 0.7531  2 Er 3.53, 1 Pm 3.54, 6 Ho 3.57-3.58, 3 Nd 3.59
Er 0.3332 0.6668 0.0000  6 Ho 3.53, 3 Pm 3.57, 3 Er 3.57-3.58
Er 0.6668 0.3332 0.0000  6 Ho 3.53, 3 Pm 3.57, 3 Er 3.57-3.58

Results
The value obtained for the density is 8.19 g/cm3. As for the volume: 385.45 Å³ per cell. The value obtained for the calculated formation energy is 0.018 eV per atom. The space group is C2/m, No. 12. Its crystal system is monoclinic.

[3]
VASP calculation (GGA-PBE) on a relaxed structure of KMg3Nb.

a = 5.0649 Å, b = 5.0649 Å, c = 5.0649 Å
α = 90.00°, β = 90.00°, γ = 90.00°
Closest atoms and distances in Å follow each position.
Atoms (fractional coordinates):
K 0.0000 0.0000 0.0000  6 Mg 2.53
Mg 0.0000 0.0000 0.5000  2 K 2.53
Mg 0.0000 0.5000 0.0000  2 K 2.53
Mg 0.5000 0.0000 0.0000  2 K 2.53
Nb 0.5000 0.5000 0.5000  12 Mg 3.58

Results
The value obtained for the density is 2.62 g/cm3. As for the volume: 129.93 Å³ per cell. As for the energy above the most stable polymorph in this dataset: 922 meV per atom. The value obtained for the calculated formation energy is 1.704 eV per atom. The space group is Pm-3m, No. 221. Its crystal system is cubic.

[4]
VASP calculation (GGA-PBE) on a relaxed structure of Na2YAs2.

a = 7.2913 Å, b = 7.2913 Å, c = 4.9163 Å
α = 90.00°, β = 90.00°, γ = 90.00°
Closest atoms and distances in Å follow each position.
Atoms (fractional coordinates):
Na 0.1654 0.3346 0.0000  6 As 3.25-3.28, 1 Na 3.41
Na 0.3346 0.8346 0.0000  6 As 3.25-3.28, 1 Na 3.41
Na 0.6654 0.1654 0.0000  6 As 3.25-3.28, 1 Na 3.41
Na 0.8346 0.6654 0.0000  6 As 3.25-3.28, 1 Na 3.41
Y 0.0000 0.0000 0.5000  4 As 2.89
Y 0.5000 0.5000 0.5000  4 As 2.89
As 0.1240 0.6240 0.5000  1 As 2.56
As 0.3760 0.1240 0.5000  1 As 2.56
As 0.6240 0.8760 0.5000  1 As 2.56
As 0.8760 0.3760 0.5000  1 As 2.56

Results
The value obtained for the density is 3.62 g/cm3. As for the volume: 261.37 Å³ per cell. As for the energy above the most stable polymorph in this dataset: 12 meV per atom. The value obtained for the calculated formation energy is -0.521 eV per atom. The space group is P4/mbm, No. 127. Its crystal system is tetragonal.

[5]
VASP calculation (GGA-PBE) on a relaxed structure of PmErAlAg.

a = 3.5768 Å, b = 3.5768 Å, c = 7.6303 Å
α = 90.00°, β = 90.00°, γ = 90.00°
Closest atoms and distances in Å follow each position.
Atoms (fractional coordinates):
Pm 0.0000 0.0000 0.0000  4 Al 3.21, 4 Ag 3.31, 4 Pm 3.58
Er 0.0000 0.0000 0.5026  4 Ag 3.05, 4 Al 3.12
Al 0.5000 0.5000 0.7419  4 Er 3.12, 4 Pm 3.21
Ag 0.5000 0.5000 0.2800  4 Er 3.05, 4 Pm 3.31

Results
The value obtained for the density is 7.61 g/cm3. As for the volume: 97.62 Å³ per cell. As for the energy above the most stable polymorph in this dataset: 0 meV per atom. The value obtained for the calculated formation energy is -0.351 eV per atom. The space group is P4mm, No. 99. Its crystal system is tetragonal.

[6]
VASP calculation (GGA-PBE) on a relaxed structure of SmDy2PuN4.

a = 6.0497 Å, b = 3.5072 Å, c = 6.0531 Å
α = 90.00°, β = 109.37°, γ = 90.00°
Closest atoms and distances in Å follow each position.
Atoms (fractional coordinates):
Sm 0.0000 0.0000 0.0000  6 N 2.50
Dy 0.5000 0.0000 0.5000  6 N 2.44-2.45
Dy 0.5000 0.5000 0.0000  6 N 2.51
Pu 0.0000 0.5000 0.5000  6 N 2.43-2.45
N 0.2469 0.0000 0.7410  3 Dy 2.44-2.51, 2 Pu 2.45, 1 Sm 2.50
N 0.2514 0.5000 0.2596  1 Pu 2.43, 3 Dy 2.45-2.51, 2 Sm 2.50
N 0.7486 0.5000 0.7404  1 Pu 2.43, 3 Dy 2.45-2.51, 2 Sm 2.50
N 0.7531 0.0000 0.2590  3 Dy 2.44-2.51, 2 Pu 2.45, 1 Sm 2.50

Results
The value obtained for the density is 10.63 g/cm3. As for the volume: 121.16 Å³ per cell. For the uncorrected formation energy, the calculation gives -1521 meV/atom. The space group is P2/m, No. 10. Its crystal system is monoclinic.

N(E_F) values, unit states/eV/f.u., following the record order: 16.81, 15.23, 0.54, 1.38, 3.08, 7.19.
E_tot values, unit eV per atom, following the record order: -4.522, -4.619, -1.486, -4.202, -4.328, -9.215.